This record from the Alexandria database describes an optimized crystal structure of Ta2BeSi. The functional is GGA-PBE.

Lattice parameters (Å, degrees): 3.952 3.952 3.756 90.00 90.00 90.00
Fractional coordinates of all 4 atoms:
1 Ta 0.000 0.500 0.000
2 Ta 0.500 0.000 0.000
3 Be 0.000 0.000 0.500
4 Si 0.500 0.500 0.500

Output
**ΔE to the lowest computed polymorph**: 448 meV/atom
**Energy relative to the elements, uncorrected**: -0.12 eV/atom